# 1
Computed, not measured: SrTcRh3 at its PBEsol-relaxed geometry at the SCAN level of DFT.

Energy ... -31.314 eV/atom
ΔE_f ... 0.416 eV per atom
Fermi-level density of states ... 0.62 states/eV/atom

POSCAR file:
```
SrTcRh3
1.0
4.676 0.000 0.000
0.000 4.676 0.000
0.000 0.000 4.676
Rh Tc Sr
3 1 1
direct
0.500 0.000 0.000
0.000 0.000 0.500
0.000 0.500 0.000
0.000 0.000 0.000
0.500 0.500 0.500
```

# 2
Computed, not measured: Mn3As2 at its PBEsol-relaxed geometry at the SCAN level of DFT.

Energy ... -19.386 eV/atom
ΔE_f ... -0.357 eV per atom
Fermi-level density of states ... 0.51 states/eV/atom

POSCAR file:
```
Mn3As2
1.0
-1.957 2.725 0.324
-1.992 -2.853 -5.572
-8.400 -6.802 6.486
As Mn
8 12
direct
0.268 0.535 0.528
0.661 0.323 0.298
0.600 0.200 0.769
0.989 0.979 0.498
0.339 0.677 0.798
0.732 0.465 0.028
0.011 0.021 0.998
0.400 0.800 0.269
0.444 0.888 0.634
0.111 0.223 0.640
0.556 0.112 0.134
0.630 0.261 0.482
0.889 0.777 0.140
0.173 0.345 0.892
0.972 0.944 0.813
0.771 0.543 0.675
0.229 0.457 0.175
0.028 0.056 0.313
0.370 0.739 0.982
0.827 0.655 0.392
```

# 3
Computed, not measured: ZrRuAu2 at its PBEsol-relaxed geometry at the SCAN level of DFT.

Energy ... -51.451 eV/atom
ΔE_f ... -0.492 eV per atom
Fermi-level density of states ... 0.54 states/eV/atom

POSCAR file:
```
ZrRuAu2
1.0
3.886 0.000 0.000
0.000 3.886 0.000
-1.943 -1.943 4.368
Au Ru Zr
2 1 1
direct
0.250 0.750 0.500
0.750 0.250 0.500
0.000 0.000 0.000
0.500 0.500 0.000
```

# 4
Computed, not measured: ZnRhAu at its PBEsol-relaxed geometry at the SCAN level of DFT.

Energy ... -38.816 eV/atom
ΔE_f ... -0.001 eV per atom
Fermi-level density of states ... 0.61 states/eV/atom

POSCAR file:
```
ZnRhAu
1.0
-2.430 -2.790 -1.766
0.770 -1.262 -3.824
1.388 -3.800 -0.664
Au Rh Zn
1 1 1
direct
0.000 0.000 0.000
0.500 0.500 0.500
0.250 0.250 0.250
```

# 5
Computed, not measured: MgTeN2 at its PBEsol-relaxed geometry at the SCAN level of DFT.

Formation energy from raw total energies ... 0.97 eV/atom
Energy ... -14.232 eV/atom
Fermi-level density of states ... 0.31 states/eV/atom

POSCAR file:
```
MgTeN2
1.0
-2.829 0.521 -2.892
-3.594 -1.907 0.295
-3.380 2.133 0.814
N Mg Te
2 1 1
direct
0.750 0.750 0.750
0.250 0.250 0.250
0.000 0.000 0.000
0.500 0.500 0.500
```

# 6
Computed, not measured: LiFeBO3 at its PBEsol-relaxed geometry at the SCAN level of DFT.

Formation energy from raw total energies ... -2.14 eV/atom
Energy ... -9.915 eV/atom

POSCAR file:
```
LiFeBO3
1.0
-0.116 -0.458 -5.134
2.792 -3.628 -2.328
-7.415 -6.116 1.422
O Fe B Li
12 4 4 4
direct
0.050 0.674 0.905
0.328 0.928 0.875
0.050 0.393 0.645
0.443 0.607 0.145
0.273 0.681 0.587
0.748 0.932 0.636
0.724 0.326 0.405
0.680 0.068 0.136
0.954 0.319 0.087
0.954 0.608 0.346
0.256 0.072 0.375
0.562 0.392 0.846
0.037 0.655 0.135
0.307 0.662 0.355
0.693 0.345 0.635
0.969 0.338 0.855
0.694 0.326 0.121
0.312 0.668 0.875
0.980 0.332 0.375
0.021 0.674 0.621
0.639 0.017 0.337
0.359 0.991 0.082
0.656 0.983 0.837
0.350 0.009 0.582
```

# 7
Computed, not measured: FeCuPt2 at its PBEsol-relaxed geometry at the SCAN level of DFT.

Energy ... -43.753 eV/atom
ΔE_f ... -0.324 eV per atom
Fermi-level density of states ... 0.60 states/eV/atom

POSCAR file:
```
FeCuPt2
1.0
-3.243 -1.130 0.838
-0.918 -0.173 -3.783
1.251 -3.688 -0.135
Fe Pt Cu
1 2 1
direct
0.500 0.000 0.000
0.000 0.000 0.500
0.000 0.500 0.000
0.500 0.500 0.500
```

# 8
Computed, not measured: DySiPt2 at its PBEsol-relaxed geometry at the SCAN level of DFT.

Formation energy from raw total energies ... -1.35 eV/atom
Energy ... -50.903 eV/atom
Fermi-level density of states ... 0.36 states/eV/atom

POSCAR file:
```
DySiPt2
1.0
-0.935 1.016 5.260
6.332 -2.263 1.562
2.600 6.700 -0.833
Dy Pt Si
4 8 4
direct
0.134 0.750 0.474
0.366 0.750 0.974
0.866 0.250 0.526
0.634 0.250 0.026
0.408 0.051 0.681
0.092 0.051 0.181
0.592 0.551 0.319
0.408 0.449 0.681
0.908 0.949 0.819
0.592 0.949 0.319
0.908 0.551 0.819
0.092 0.449 0.181
0.136 0.250 0.881
0.864 0.750 0.119
0.364 0.250 0.381
0.636 0.750 0.619
```

- What is the energy in the third record?
  -51.451 eV/atom

Please write out number 7 again, unchanged.
Computed, not measured: FeCuPt2 at its PBEsol-relaxed geometry at the SCAN level of DFT.

Energy ... -43.753 eV/atom
ΔE_f ... -0.324 eV per atom
Fermi-level density of states ... 0.60 states/eV/atom

POSCAR file:
```
FeCuPt2
1.0
-3.243 -1.130 0.838
-0.918 -0.173 -3.783
1.251 -3.688 -0.135
Fe Pt Cu
1 2 1
direct
0.500 0.000 0.000
0.000 0.000 0.500
0.000 0.500 0.000
0.500 0.500 0.500
```

- Which of these has the lowest energy?
  ZrRuAu2

- Among the records above, which one has the highest energy?
  LiFeBO3